1.
Entry from Alexandria: a relaxed structure of SiHg3Au4 (GGA-PBE).

Results
Its size of the total moment is 0.00 μB per atom.

abc: 5.6462 7.1796 6.0052
angles: 101.82 122.59 105.59
Positions (direct):
Hg (0.3085, 0.7074, 0.3546)
Au (0.3948, 0.7085, 0.9065)
Hg (0.9511, 0.0160, 0.9815)
Si (0.6683, 0.4826, 0.0425)
Au (0.9180, 0.8068, 0.5004)
Au (0.1453, 0.2575, 0.5386)
Au (0.5226, 0.1365, 0.0466)
Hg (0.7424, 0.3849, 0.6293)

2.
Entry from Alexandria: a relaxed structure of SiHg2Au (GGA-PBE).

Results
Its size of the total moment is 0.00 μB per atom.

abc: 4.8859 4.8859 4.8859
angles: 60.00 60.00 60.00
Positions (direct):
Hg (0.7500, 0.7500, 0.7500)
Si (0.2500, 0.2500, 0.2500)
Hg (0.0000, 0.0000, 0.0000)
Au (0.5000, 0.5000, 0.5000)

Number 1: calculated density 13.20 g/cm³, uncorrected energy -2.3712 eV per atom. Number 2: calculated density 12.61 g/cm³, uncorrected energy -1.9353 eV per atom.